# 1
The following is a PBE-GGA calculation of a relaxed La8Ru3NCl4 crystal, from Alexandria.

Unit cell a=13.9963 b=8.0836 c=8.9574 alpha=90.00 beta=121.31 gamma=90.00
Last column: nearest neighbours and their distance in Å.
Space group C2/m (No. 12)
Inequivalent atoms, fractional coordinates:
La  0.0156  0.2386  0.3079 [8 per cell]  1 N 2.67, 2 Ru 2.80-2.81
La  0.2232  0.0000  0.6921 [4 per cell]  1 N 2.67, 2 Ru 2.80
La  0.2384  0.5000  0.7157 [4 per cell]  3 Ru 2.86, 3 Cl 3.19
Ru  0.0000  0.5000  0.5000 [2 per cell]  6 La 2.80-2.86
Ru  0.2500  0.2500  0.5000 [4 per cell]  6 La 2.80-2.86
N  0.0000  0.0000  0.5000 [2 per cell]  6 La 2.67
Cl  0.0000  0.0000  0.0000 [2 per cell]  6 La 3.19-3.28
Cl  0.0000  0.5000  0.0000 [2 per cell]  6 La 3.39
Cl  0.2500  0.2500  0.0000 [4 per cell]  6 La 3.19-3.28

**Formation energy (no corrections)**: -1.14 eV per atom

---

# 2
The following is a PBE-GGA calculation of a relaxed LaSNCl2 crystal, from Alexandria.

Unit cell a=4.5463 b=4.5463 c=4.4449 alpha=90.00 beta=90.00 gamma=90.00
Last column: nearest neighbours and their distance in Å.
Space group P4/mmm (No. 123)
Inequivalent atoms, fractional coordinates:
La  0.0000  0.0000  0.0000 [1 per cell]  8 Cl 3.18, 4 S 3.21
S  0.5000  0.5000  0.0000 [1 per cell]  2 N 2.22
N  0.5000  0.5000  0.5000 [1 per cell]  2 S 2.22, 4 Cl 2.27
Cl  0.0000  0.5000  0.5000 [2 per cell]  2 N 2.27

**Formation energy (no corrections)**: -0.29 eV per atom

---

# 3
The following is a PBE-GGA calculation of a relaxed La4SNCl2 crystal, from Alexandria.

Unit cell a=7.0071 b=3.9460 c=7.3108 alpha=90.00 beta=107.77 gamma=90.00
Last column: nearest neighbours and their distance in Å.
Space group P2/m (No. 10)
Inequivalent atoms, fractional coordinates:
La  0.2092  0.0000  0.2009 [2 per cell]  2 N 2.62, 1 S 2.85
La  0.2316  0.5000  0.7873 [2 per cell]  1 N 2.57, 2 S 2.84
S  0.5000  0.0000  0.0000 [1 per cell]  6 La 2.84-2.85
N  0.0000  0.5000  0.0000 [1 per cell]  6 La 2.57-2.62
Cl  0.0000  0.0000  0.5000 [1 per cell]  6 La 2.98
Cl  0.5000  0.5000  0.5000 [1 per cell]  6 La 3.18-3.22

**Formation energy (no corrections)**: -1.72 eV per atom

---

# 4
The following is a PBE-GGA calculation of a relaxed LaSNCl2 crystal, from Alexandria.

Unit cell a=5.7072 b=5.7072 c=4.4617 alpha=90.00 beta=90.00 gamma=90.00
Last column: nearest neighbours and their distance in Å.
Space group P4/mmm (No. 123)
Inequivalent atoms, fractional coordinates:
La  0.0000  0.0000  0.0000 [1 per cell]  2 N 2.23
S  0.5000  0.5000  0.5000 [1 per cell]  8 Cl 3.62, 4 N 4.04
N  0.0000  0.0000  0.5000 [1 per cell]  2 La 2.23
Cl  0.0000  0.5000  0.0000 [2 per cell]  2 La 2.85

**Formation energy (no corrections)**: -0.12 eV per atom

---

# 5
The following is a PBE-GGA calculation of a relaxed La2SNCl2 crystal, from Alexandria.

Unit cell a=4.3332 b=8.5843 c=7.3212 alpha=90.00 beta=90.00 gamma=90.00
Last column: nearest neighbours and their distance in Å.
Space group Pmc2_1 (No. 26)
Inequivalent atoms, fractional coordinates:
La  0.0000  0.1142  0.0000 [2 per cell]  2 N 2.55-2.75
La  0.5000  0.2700  0.4390 [2 per cell]  2 N 2.41
S  0.5000  0.0338  0.7202 [2 per cell]  6 La 2.89-3.06, 2 N 2.95
N  0.0000  0.1617  0.3710 [2 per cell]  3 La 2.41-2.55
Cl  0.0000  0.3686  0.7135 [2 per cell]  3 La 3.03-3.07, 1 N 3.07, 2 Cl 3.32
Cl  0.5000  0.3522  0.0573 [2 per cell]  3 La 2.88-3.01

**Formation energy (no corrections)**: -1.83 eV per atom

---

# 6
The following is a PBE-GGA calculation of a relaxed LaSNCl2 crystal, from Alexandria.

Unit cell a=5.5870 b=5.5870 c=5.7521 alpha=90.00 beta=90.00 gamma=90.00
Last column: nearest neighbours and their distance in Å.
Space group P4/mmm (No. 123)
Inequivalent atoms, fractional coordinates:
La  0.0000  0.0000  0.0000 [1 per cell]  4 Cl 2.79, 2 S 2.88
S  0.0000  0.0000  0.5000 [1 per cell]  2 La 2.88
N  0.5000  0.5000  0.5000 [1 per cell]  4 S 3.95, 8 Cl 4.01
Cl  0.0000  0.5000  0.0000 [2 per cell]  2 La 2.79

**Formation energy (no corrections)**: -0.24 eV per atom

---

# 7
The following is a PBE-GGA calculation of a relaxed La6SN2Cl3 crystal, from Alexandria.

Unit cell a=6.7757 b=11.7293 c=7.4029 alpha=90.00 beta=107.79 gamma=90.00
Last column: nearest neighbours and their distance in Å.
Space group C2/m (No. 12)
Inequivalent atoms, fractional coordinates:
La  0.2101  0.0000  0.1986 [4 per cell]  2 N 2.60, 1 S 2.79
La  0.2449  0.3216  0.2009 [8 per cell]  2 N 2.60-2.61, 1 S 2.80
S  0.0000  0.5000  0.0000 [2 per cell]  6 La 2.79-2.80
N  0.0000  0.1672  0.0000 [4 per cell]  6 La 2.60-2.61
Cl  0.0000  0.0000  0.5000 [2 per cell]  6 La 2.99-3.15
Cl  0.0000  0.3404  0.5000 [4 per cell]  6 La 3.03-3.15

**Formation energy (no corrections)**: -1.67 eV per atom

---

# 8
The following is a PBE-GGA calculation of a relaxed LaScNCl2 crystal, from Alexandria.

Unit cell a=5.9410 b=5.9410 c=3.9421 alpha=90.00 beta=90.00 gamma=90.00
Last column: nearest neighbours and their distance in Å.
Space group P4/mmm (No. 123)
Inequivalent atoms, fractional coordinates:
La  0.0000  0.0000  0.0000 [1 per cell]  2 N 1.97
Sc  0.5000  0.5000  0.0000 [1 per cell]  8 Cl 3.56, 2 Sc 3.94
N  0.0000  0.0000  0.5000 [1 per cell]  2 La 1.97
Cl  0.0000  0.5000  0.5000 [2 per cell]  2 N 2.97

**Formation energy (no corrections)**: -0.27 eV per atom

---

# 9
The following is a PBE-GGA calculation of a relaxed La2ScN2Cl2 crystal, from Alexandria.

Unit cell a=4.2683 b=4.2683 c=15.2542 alpha=90.00 beta=90.00 gamma=90.00
Last column: nearest neighbours and their distance in Å.
Space group I4/mmm (No. 139)
Inequivalent atoms, fractional coordinates:
La  0.0000  0.0000  0.1012 [4 per cell]  4 N 2.63
Sc  0.0000  0.0000  0.5000 [2 per cell]  4 N 2.13
N  0.0000  0.5000  0.0000 [4 per cell]  2 Sc 2.13
Cl  0.0000  0.0000  0.3149 [4 per cell]  1 Sc 2.82

**Formation energy (no corrections)**: -1.76 eV per atom

---

# 10
The following is a PBE-GGA calculation of a relaxed La4Se2NCl crystal, from Alexandria.

Unit cell a=7.1772 b=4.0575 c=7.2586 alpha=90.00 beta=108.37 gamma=90.00
Last column: nearest neighbours and their distance in Å.
Space group P2/m (No. 10)
Inequivalent atoms, fractional coordinates:
La  0.2099  0.0000  0.2122 [2 per cell]  2 N 2.70, 1 Cl 2.94, 1 Se 2.95
La  0.2206  0.5000  0.7746 [2 per cell]  1 N 2.61
Se  0.5000  0.0000  0.0000 [1 per cell]  6 La 2.95-2.96
Se  0.5000  0.5000  0.5000 [1 per cell]  6 La 3.17-3.24
N  0.0000  0.5000  0.0000 [1 per cell]  6 La 2.61-2.70
Cl  0.0000  0.0000  0.5000 [1 per cell]  6 La 2.93-2.94

**Formation energy (no corrections)**: -1.71 eV per atom

---

# 11
The following is a PBE-GGA calculation of a relaxed LaSeN2Cl crystal, from Alexandria.

Unit cell a=4.1622 b=4.1622 c=6.8034 alpha=90.00 beta=90.00 gamma=90.00
Last column: nearest neighbours and their distance in Å.
Space group P4/mmm (No. 123)
Inequivalent atoms, fractional coordinates:
La  0.0000  0.0000  0.0000 [1 per cell]  4 N 2.08
Se  0.0000  0.0000  0.5000 [1 per cell]  4 Cl 2.94
N  0.0000  0.5000  0.0000 [2 per cell]  2 La 2.08
Cl  0.5000  0.5000  0.5000 [1 per cell]  4 Se 2.94

**Formation energy (no corrections)**: 0.88 eV per atom

---

# 12
The following is a PBE-GGA calculation of a relaxed LaSeN2Cl crystal, from Alexandria.

Unit cell a=4.2910 b=4.2910 c=4.6224 alpha=90.00 beta=90.00 gamma=90.00
Last column: nearest neighbours and their distance in Å.
Space group P4/mmm (No. 123)
Inequivalent atoms, fractional coordinates:
La  0.0000  0.0000  0.0000 [1 per cell]  4 Se 3.03, 8 N 3.15
Se  0.5000  0.5000  0.0000 [1 per cell]  2 Cl 2.31
N  0.0000  0.5000  0.5000 [2 per cell]  2 Cl 2.15
Cl  0.5000  0.5000  0.5000 [1 per cell]  4 N 2.15, 2 Se 2.31

**Formation energy (no corrections)**: 0.92 eV per atom